A plane-wave DFT calculation with GGA-PBE was carried out for a geometry-optimized CrRuIN2 structure.

Properties
* formation energy (no corrections): 1142 meV per atom
* distance to the lowest polymorph of the same formula: 0 meV per atom
* ρ: 6.50 g/cm³

Cell lengths 3.711, 3.711, 5.715 Å; angles 90.00, 90.00, 90.00 degrees
Last column: magnetic moment on the atom in μB.
Sites, in units of the cell vectors:
I 0.000 0.000 0.500  0.02
Ru 0.500 0.500 0.500  1.04
N 0.000 0.500 0.000  0.06
N 0.500 0.000 0.000  0.06
Cr 0.000 0.000 0.000  -0.20

***

A plane-wave DFT calculation with GGA-PBE was carried out for a geometry-optimized YSc2Ir3 structure.

Properties
* calculated formation energy: -0.916 eV/atom
* ρ: 11.69 g/cm³

Cell lengths 3.185, 3.185, 10.578 Å; angles 90.00, 90.00, 90.00 degrees
Sites, in units of the cell vectors:
Y 0.500 0.500 0.500
Sc 0.500 0.500 0.840
Sc 0.500 0.500 0.160
Ir 0.000 0.000 0.000
Ir 0.000 0.000 0.686
Ir 0.000 0.000 0.314

***

A plane-wave DFT calculation with GGA-PBE was carried out for a geometry-optimized TaCdHg2 structure.

Properties
* calculated formation energy: 0.325 eV/atom
* ρ: 13.53 g/cm³

Cell lengths 10.459, 10.459, 10.459 Å; angles 16.99, 16.99, 16.99 degrees
Sites, in units of the cell vectors:
Cd 0.754 0.754 0.754
Hg 0.001 0.001 0.001
Hg 0.245 0.245 0.245
Ta 0.500 0.500 0.500

***

A plane-wave DFT calculation with GGA-PBE was carried out for a geometry-optimized BaCd8As6 structure.

Properties
* calculated formation energy: -0.217 eV/atom
* ρ: 6.43 g/cm³

Cell lengths 7.680, 7.680, 8.720 Å; angles 63.87, 63.87, 60.00 degrees
Sites, in units of the cell vectors:
Ba 0.000 0.000 0.000
Cd 0.560 0.197 0.374
Cd 0.803 0.131 0.626
Cd 0.131 0.440 0.626
Cd 0.668 0.668 0.995
Cd 0.332 0.332 0.005
Cd 0.869 0.560 0.374
Cd 0.197 0.869 0.374
Cd 0.440 0.803 0.626
As 0.437 0.075 0.760
As 0.925 0.272 0.240
As 0.272 0.563 0.240
As 0.728 0.437 0.760
As 0.075 0.728 0.760
As 0.563 0.925 0.240

***

A plane-wave DFT calculation with GGA-PBE was carried out for a geometry-optimized TlBiO2 structure.

Properties
* formation energy (no corrections): -562 meV per atom
* distance to the lowest polymorph of the same formula: 325 meV per atom
* ρ: 10.87 g/cm³

Cell lengths 3.160, 3.160, 6.814 Å; angles 90.00, 90.00, 90.00 degrees
Sites, in units of the cell vectors:
Tl 0.500 0.500 0.500
Bi 0.500 0.500 0.000
O 0.000 0.000 0.806
O 0.000 0.000 0.194

***

A plane-wave DFT calculation with GGA-PBE was carried out for a geometry-optimized AcPmAg4 structure.

Properties
* calculated formation energy: -0.284 eV/atom
* distance to the lowest polymorph of the same formula: 0 meV per atom
* ρ: 8.73 g/cm³

Cell lengths 4.848, 4.848, 8.934 Å; angles 74.31, 74.30, 120.00 degrees
Sites, in units of the cell vectors:
Ac 0.501 0.497 0.998
Pm 0.001 0.997 0.498
Ag 0.556 0.885 0.277
Ag 0.446 0.109 0.720
Ag 0.113 0.442 0.719
Ag 0.889 0.552 0.277

***

A plane-wave DFT calculation with GGA-PBE was carried out for a geometry-optimized BiAu3S structure.

Properties
* formation energy (no corrections): 962 meV per atom
* distance to the lowest polymorph of the same formula: 524 meV per atom
* ρ: 8.86 g/cm³

Cell lengths 5.382, 5.382, 5.382 Å; angles 90.00, 90.00, 90.00 degrees
Last column: magnetic moment on the atom in μB.
Sites, in units of the cell vectors:
S 0.500 0.500 0.500  0.95
Au 0.000 0.500 0.000  0.11
Au 0.000 0.000 0.500  0.04
Au 0.500 0.000 0.000  0.11
Bi 0.000 0.000 0.000  0.11

***

A plane-wave DFT calculation with GGA-PBE was carried out for a geometry-optimized Cu2PPd8 structure.

Properties
* calculated formation energy: -0.178 eV/atom
* ρ: 10.19 g/cm³

Cell lengths 4.443, 5.603, 7.447 Å; angles 110.63, 107.36, 90.00 degrees
Sites, in units of the cell vectors:
Cu 0.814 0.313 0.627
Cu 0.186 0.687 0.373
P 0.500 0.000 0.000
Pd 0.377 0.597 0.755
Pd 0.643 0.905 0.286
Pd 0.812 0.786 0.624
Pd 0.992 0.243 0.984
Pd 0.188 0.214 0.376
Pd 0.357 0.095 0.714
Pd 0.623 0.403 0.245
Pd 0.008 0.757 0.016

***

A plane-wave DFT calculation with GGA-PBE was carried out for a geometry-optimized MgHSe2Br structure.

Properties
* distance to the lowest polymorph of the same formula: 0 meV per atom
* ρ: 4.41 g/cm³

Cell lengths 4.016, 4.016, 6.141 Å; angles 90.00, 90.00, 90.00 degrees
Sites, in units of the cell vectors:
H 0.000 0.000 0.000
Mg 0.500 0.500 0.500
Se 0.000 0.500 0.000
Se 0.500 0.000 0.000
Br 0.000 0.000 0.500

***

A plane-wave DFT calculation with GGA-PBE was carried out for a geometry-optimized Hf2TcNi structure.

Properties
* calculated formation energy: 0.505 eV/atom
* ρ: 11.28 g/cm³

Cell lengths 4.173, 4.173, 9.172 Å; angles 76.85, 76.85, 90.00 degrees
Last column: magnetic moment on the atom in μB.
Sites, in units of the cell vectors:
Ni 0.500 0.500 0.000  0.01
Ni 0.250 0.750 0.500  0.02
Hf 0.624 0.125 0.250  -0.01
Hf 0.126 0.625 0.250  -0.01
Hf 0.375 0.376 0.750  -0.01
Hf 0.875 0.874 0.750  -0.01
Tc 0.000 0.000 0.000  0.33
Tc 0.750 0.250 0.500  0.32

***

A plane-wave DFT calculation with GGA-PBE was carried out for a geometry-optimized UVZn17 structure.

Properties
* calculated formation energy: 0.031 eV/atom
* ρ: 7.79 g/cm³

Cell lengths 6.740, 6.740, 6.740 Å; angles 82.30, 82.30, 82.30 degrees
Last column: magnetic moment on the atom in μB.
Sites, in units of the cell vectors:
U 0.665 0.665 0.665  2.45
V 0.318 0.318 0.318  2.38
Zn 0.299 0.007 0.696  0.00
Zn 0.696 0.299 0.007  0.00
Zn 0.007 0.696 0.299  0.00
Zn 0.299 0.696 0.007  0.00
Zn 0.007 0.299 0.696  0.00
Zn 0.696 0.007 0.299  0.00
Zn 0.350 0.867 0.350  -0.01
Zn 0.350 0.350 0.867  -0.01
Zn 0.867 0.350 0.350  -0.01
Zn 0.631 0.189 0.631  0.00
Zn 0.631 0.631 0.189  0.00
Zn 0.189 0.631 0.631  0.00
Zn 0.985 0.515 0.985  -0.01
Zn 0.985 0.985 0.515  -0.01
Zn 0.515 0.985 0.985  -0.01
Zn 0.906 0.906 0.906  -0.01
Zn 0.104 0.104 0.104  -0.01

***

A plane-wave DFT calculation with GGA-PBE was carried out for a geometry-optimized LiZr2Sc structure.

Properties
* calculated formation energy: 0.197 eV/atom
* ρ: 4.40 g/cm³

Cell lengths 5.427, 3.067, 5.343 Å; angles 83.71, 90.00, 90.00 degrees
Sites, in units of the cell vectors:
Li 0.500 0.250 0.250
Sc 0.500 0.750 0.750
Zr 0.000 0.050 0.005
Zr 0.000 0.450 0.495

***

A plane-wave DFT calculation with GGA-PBE was carried out for a geometry-optimized Ba4NaMg structure.

Properties
* calculated formation energy: -0.009 eV/atom
* distance to the lowest polymorph of the same formula: 0 meV per atom
* ρ: 3.12 g/cm³

Cell lengths 4.440, 4.440, 16.104 Å; angles 90.00, 90.00, 90.00 degrees
Sites, in units of the cell vectors:
Ba 0.500 0.500 0.838
Ba 0.500 0.500 0.162
Ba 0.000 0.000 0.629
Ba 0.000 0.000 0.371
Na 0.000 0.000 0.000
Mg 0.500 0.500 0.500